{
  "formula": "Dy3PaP2Rh9",
  "functional": "PBE-GGA",
  "state": "optimized geometry",
  "lattice_angstrom": [[5.996, 0.000, 0.000], [-2.998, 5.192, 0.000], [0.000, 0.000, 9.451]],
  "species": ["Rh", "Rh", "Rh", "Rh", "Rh", "Rh", "Rh", "Rh", "Rh", "Dy", "Dy", "Dy", "P", "P", "Pa"],
  "fractional_positions": [[0.500, 0.500, 0.000], [0.848, 0.695, 0.720], [0.305, 0.152, 0.720], [0.500, 0.000, 0.000], [0.695, 0.848, 0.280], [0.152, 0.848, 0.280], [0.152, 0.305, 0.280], [0.848, 0.152, 0.720], [0.000, 0.500, 0.000], [0.000, 0.000, 0.000], [0.667, 0.333, 0.279], [0.333, 0.667, 0.721], [0.333, 0.667, 0.157], [0.667, 0.333, 0.843], [0.000, 0.000, 0.500]],
  "formation_enthalpy_0k_mev_per_atom": -716,
  "total_magnetization_mub_per_cell": 0.00,
  "sg": "No. 164",
  "dos_at_fermi_per_ev_cell": 5.33
}